## TaHgIr (PBE)

Data for a relaxed TaHgIr crystal.

Cell lengths 2.9210, 2.9210, 7.2347 Å; angles 90.00, 90.00, 120.00 degrees
Last column: nearest neighbours and their distance in Å.
Fractional coordinates of all 3 atoms:
1 Ta 0.0000 0.0000 0.0000  3 Ir 2.72, 6 Ta 2.92
2 Hg 0.3333 0.6667 0.3583  6 Hg 2.92, 3 Ir 3.03, 3 Ta 3.09
3 Ir 0.6667 0.3333 0.7057  3 Ta 2.72, 6 Ir 2.92, 3 Hg 3.03

Properties
DFT formation energy	0.11	eV per atom
relative energy among the computed polymorphs	2.57	kcal/mol of atoms
ρ	17.82	g/cm3
spin magnetization	0.0	μB/cell


## AcSmZrN3 (PBE)

Data for a relaxed AcSmZrN3 crystal.

Cell lengths 6.9946, 3.5449, 9.9402 Å; angles 90.00, 93.03, 90.00 degrees
Last column: nearest neighbours and their distance in Å.
Fractional coordinates of all 12 atoms:
1 Ac 0.1640 0.2500 0.2162  4 N 2.55-2.85
2 Ac 0.8360 0.7500 0.7838  4 N 2.55-2.85
3 Sm 0.3603 0.7500 0.8777  5 N 2.32-2.58
4 Sm 0.6397 0.2500 0.1223  5 N 2.32-2.58
5 Zr 0.1635 0.2500 0.5721  4 N 2.08-2.18
6 Zr 0.8365 0.7500 0.4279  4 N 2.08-2.18
7 N 0.1486 0.7500 0.4505  3 Zr 2.15-2.18
8 N 0.1543 0.2500 0.7812  1 Zr 2.08
9 N 0.3705 0.7500 0.1109  3 Sm 2.32-2.58, 2 Ac 2.55
10 N 0.6295 0.2500 0.8891  3 Sm 2.32-2.58, 2 Ac 2.55
11 N 0.8457 0.7500 0.2188  1 Zr 2.08
12 N 0.8514 0.2500 0.5495  3 Zr 2.15-2.18

Properties
ρ	6.89	g/cm3
energy relative to the elements, uncorrected	-661	kJ/mol of formula units
spin magnetization	0.0	μB/cell


## LaPmPr2Tm (PBE)

Data for a relaxed LaPmPr2Tm crystal.

Cell lengths 8.6160, 6.5776, 6.3614 Å; angles 90.00, 95.28, 90.00 degrees
Last column: nearest neighbours and their distance in Å.
Fractional coordinates of all 10 atoms:
1 La 0.0000 0.0000 0.0000  2 La 3.18, 2 Pm 3.29, 2 Pr 3.56
2 La 0.0000 0.0000 0.5000  2 La 3.18, 2 Pm 3.29, 2 Pr 3.56
3 Pm 0.0000 0.4385 0.2500  2 Pr 3.19, 2 Pm 3.28, 2 La 3.29
4 Pm 0.0000 0.5615 0.7500  2 Pr 3.19, 2 Pm 3.28, 2 La 3.29
5 Pr 0.3129 0.3092 0.7201  1 Pm 3.19, 1 Pr 3.21, 1 Tm 3.52, 1 La 3.56
6 Pr 0.3129 0.6908 0.2201  1 Pm 3.19, 1 Pr 3.21, 1 Tm 3.52, 1 La 3.56
7 Pr 0.6871 0.3092 0.7799  1 Pm 3.19, 1 Pr 3.21, 1 Tm 3.52, 1 La 3.56
8 Pr 0.6871 0.6908 0.2799  1 Pm 3.19, 1 Pr 3.21, 1 Tm 3.52, 1 La 3.56
9 Tm 0.5000 0.1664 0.2500  8 Pr 3.52-3.80, 2 Tm 3.86
10 Tm 0.5000 0.8336 0.7500  8 Pr 3.52-3.80, 2 Tm 3.86

Properties
DFT formation energy	0.26	eV per atom
ρ	6.80	g/cm3
spin magnetization	0.0	μB/cell


## LiScGa2As (PBE)

Data for a relaxed LiScGa2As crystal.

Cell lengths 5.0350, 5.0350, 5.0228 Å; angles 90.00, 90.00, 90.00 degrees
Last column: nearest neighbours and their distance in Å.
Fractional coordinates of all 5 atoms:
1 Li 0.0000 0.0000 0.0000  8 Ga 3.56, 4 Sc 3.56
2 Sc 0.5000 0.5000 0.0000  2 As 2.51
3 Ga 0.0000 0.5000 0.5000  2 As 2.52
4 Ga 0.5000 0.0000 0.5000  2 As 2.52
5 As 0.5000 0.5000 0.5000  2 Sc 2.51, 4 Ga 2.52

Properties
DFT formation energy	0.13	eV per atom
ρ	3.47	g/cm3
spin magnetization	0.0	μB/cell


## NdPa3Pt6 (PBE)

Data for a relaxed NdPa3Pt6 crystal.

Cell lengths 9.2973, 4.4792, 10.8336 Å; angles 90.00, 99.85, 90.00 degrees
Last column: nearest neighbours and their distance in Å.
Fractional coordinates of all 20 atoms:
1 Nd 0.1604 0.2500 0.2309  8 Pt 2.94-3.27
2 Nd 0.8396 0.7500 0.7691  8 Pt 2.94-3.27
3 Pa 0.0939 0.2500 0.5607  6 Pt 2.83-3.01, 2 Pa 3.00
4 Pa 0.2419 0.7500 0.9765  8 Pt 2.76-3.06
5 Pa 0.4274 0.7500 0.6838  8 Pt 2.76-3.04
6 Pa 0.5726 0.2500 0.3162  8 Pt 2.76-3.04
7 Pa 0.7581 0.2500 0.0235  8 Pt 2.76-3.06
8 Pa 0.9061 0.7500 0.4393  6 Pt 2.83-3.01, 2 Pa 3.00
9 Pt 0.0487 0.2500 0.9276  3 Pa 2.86-3.06, 2 Pt 2.96
10 Pt 0.1415 0.7500 0.7219  4 Pa 2.76-2.83, 1 Nd 2.94
11 Pt 0.2214 0.7500 0.4341  3 Pt 2.88-2.90, 4 Pa 2.94-3.04, 2 Nd 3.12
12 Pt 0.3849 0.7500 0.2293  3 Pa 2.83-2.90, 4 Pt 2.90-3.05, 2 Nd 3.06
13 Pt 0.4065 0.2500 0.5207  4 Pa 2.84-3.01, 5 Pt 2.88-3.05
14 Pt 0.4452 0.2500 0.0617  4 Pa 2.81-3.01, 4 Pt 2.88-3.00
15 Pt 0.5548 0.7500 0.9383  4 Pa 2.81-3.01, 4 Pt 2.88-3.00
16 Pt 0.5935 0.7500 0.4793  4 Pa 2.84-3.01, 5 Pt 2.88-3.05
17 Pt 0.6151 0.2500 0.7707  3 Pa 2.83-2.90, 4 Pt 2.90-3.05, 2 Nd 3.06
18 Pt 0.7786 0.2500 0.5659  3 Pt 2.88-2.90, 4 Pa 2.94-3.04, 2 Nd 3.12
19 Pt 0.8585 0.2500 0.2781  4 Pa 2.76-2.83, 1 Nd 2.94
20 Pt 0.9513 0.7500 0.0724  3 Pa 2.86-3.06, 2 Pt 2.96

Properties
DFT formation energy	-0.88	eV per atom
ρ	15.00	g/cm3
spin magnetization	0.0	μB/cell


## AlTlN3 (PBE)

Data for a relaxed AlTlN3 crystal.

Cell lengths 4.2371, 4.2371, 4.2371 Å; angles 90.00, 90.00, 90.00 degrees
Last column: nearest neighbours and their distance in Å.
Fractional coordinates of all 5 atoms:
1 Al 0.0000 0.0000 0.0000  12 N 3.00
2 Tl 0.5000 0.5000 0.5000  6 N 2.12
3 N 0.0000 0.5000 0.5000  2 Tl 2.12
4 N 0.5000 0.0000 0.5000  2 Tl 2.12
5 N 0.5000 0.5000 0.0000  2 Tl 2.12

Properties
ρ	5.97	g/cm3
energy relative to the elements, uncorrected	1188	kJ/mol of formula units
spin magnetization	2.6	μB/cell